Record 1
Compound: NaCdAu2
Source: Alexandria
Functional: PBE
Structure: relaxed

Output
SG ... P2_1/m
Energy relative to the elements ... -22.19 kJ/mol of atoms
Total magnetization ... 0.00 μB per formula unit

Unit cell a=5.005 b=6.506 c=6.427 alpha=90.00 beta=90.00 gamma=130.40
Fractional positions:
Na: 0.952 0.226 0.250
Na: 0.048 0.774 0.750
Au: 0.501 0.722 0.500
Au: 0.499 0.278 0.500
Au: 0.501 0.722 0.000
Au: 0.499 0.278 0.000
Cd: 0.052 0.776 0.250
Cd: 0.948 0.224 0.750



Record 2
Compound: Ti8V2W
Source: Alexandria
Functional: PBE
Structure: relaxed

Output
SG ... C2/m
Energy relative to the elements ... 13.23 kJ/mol of atoms
Total magnetization ... 0.00 μB per formula unit

Unit cell a=5.112 b=7.129 c=7.129 alpha=44.84 beta=95.31 gamma=95.31
Fractional positions:
Ti: 0.410 0.348 0.836
Ti: 0.153 0.806 0.806
Ti: 0.075 0.403 0.403
Ti: 0.410 0.836 0.348
Ti: 0.925 0.597 0.597
Ti: 0.590 0.652 0.164
Ti: 0.590 0.164 0.652
Ti: 0.847 0.194 0.194
V: 0.355 0.251 0.251
V: 0.645 0.749 0.749
W: 0.000 0.000 0.000



Record 3
Compound: AlPRh2
Source: Alexandria
Functional: PBE
Structure: relaxed

Output
Excess energy over the best structure of this formula in the dataset ... 0.4343 eV per atom
SG ... I-42d
Energy relative to the elements ... -22.51 kJ/mol of atoms
Total magnetization ... 0.00 μB per formula unit

Unit cell a=5.476 b=5.476 c=6.437 alpha=64.83 beta=64.83 gamma=90.00
Fractional positions:
Rh: 0.093 0.625 0.250
Rh: 0.375 0.343 0.750
Rh: 0.657 0.125 0.250
Rh: 0.875 0.907 0.750
Al: 0.250 0.750 0.500
Al: 0.500 0.500 0.000
P: 0.750 0.250 0.500
P: 0.000 0.000 0.000